# 1
Density functional theory data (PBE) for Rb3SO4 after structural relaxation.

Cell lengths 6.6411, 6.6411, 6.6411 Å; angles 125.20, 100.30, 104.18 degrees
Sites, in units of the cell vectors:
Rb 0.0000 0.0000 0.0000
Rb 0.3061 0.5264 0.7796
Rb 0.7468 0.5264 0.2204
S 0.6381 0.1381 0.5000
O 0.3897 0.0353 0.3544
O 0.6810 0.0353 0.6456
O 0.7448 0.0433 0.2985
O 0.7448 0.4462 0.7015

Properties
Its total magnetic moment is 0.00 μB per cell. The calculation puts the uncorrected formation energy at -11.970 eV per formula unit. The total DFT energy (no corrections) comes out at -0.1784 Ha/atom.

---

# 2
Density functional theory data (PBE) for RbS2O6 after structural relaxation.

Cell lengths 7.0024, 7.0024, 7.0024 Å; angles 53.55, 53.55, 53.55 degrees
Sites, in units of the cell vectors:
Rb 0.0000 0.0000 0.0000
S 0.2365 0.2365 0.2365
S 0.3770 0.3770 0.3770
O 0.0916 0.0917 0.4862
O 0.0916 0.4862 0.0916
O 0.1253 0.5210 0.5210
O 0.4862 0.0916 0.0916
O 0.5210 0.1253 0.5210
O 0.5210 0.5210 0.1253

Properties
Its total magnetic moment is 1.01 μB per cell. The calculation puts the uncorrected formation energy at -11.516 eV per formula unit. Its relative energy among the computed polymorphs is 6 meV/atom. The total DFT energy (no corrections) comes out at -0.2062 Ha/atom.

---

# 3
Density functional theory data (PBE) for RbS5O after structural relaxation.

Cell lengths 6.6686, 6.6686, 6.5533 Å; angles 107.12, 107.12, 41.14 degrees
Sites, in units of the cell vectors:
Rb 0.0000 0.0000 0.0000
S 0.1635 0.1635 0.6340
S 0.1718 0.5931 0.4412
S 0.2707 0.2707 0.9292
S 0.5931 0.1718 0.4412
S 0.7148 0.7148 0.4618
O 0.6279 0.6279 0.2449

Properties
Its total magnetic moment is 0.36 μB per cell. The calculation puts the uncorrected formation energy at -2.065 eV per formula unit. The total DFT energy (no corrections) comes out at -0.1503 Ha/atom.